Record 1
LiNdYSn | GGA-PBE | relaxed

Size of the total moment ... 0.00 μB per atom
Energy relative to the elements ... -450 meV per atom
DOS(E_F) ... 2.70 states/eV/f.u.
VASP energy ... -19.0 eV per formula unit

Cell lengths 5.308, 5.308, 5.308 Å; angles 60.00, 60.00, 60.00 degrees
Fractional coordinates of all 4 atoms:
Nd (0.250, 0.250, 0.250)
Li (0.500, 0.500, 0.500)
Sn (0.000, 0.000, 0.000)
Y (0.750, 0.750, 0.750)

Record 2
Li2NdY2Sn2 | GGA-PBE | relaxed

Size of the total moment ... 0.00 μB per atom
Energy relative to the elements ... -485 meV per atom
DOS(E_F) ... 4.46 states/eV/f.u.
VASP energy ... -32.9 eV per formula unit

Cell lengths 4.814, 4.814, 9.444 Å; angles 75.23, 75.23, 60.00 degrees
Fractional coordinates of all 7 atoms:
Y (0.870, 0.870, 0.389)
Y (0.130, 0.130, 0.611)
Li (0.592, 0.592, 0.224)
Li (0.408, 0.408, 0.776)
Sn (0.740, 0.740, 0.781)
Sn (0.260, 0.260, 0.219)
Nd (0.000, 0.000, 0.000)

Record 3
Li2NdZn2Sn2 | GGA-PBE | relaxed

Size of the total moment ... 0.00 μB per atom
Energy relative to the elements ... -448 meV per atom
DOS(E_F) ... 2.11 states/eV/f.u.
VASP energy ... -22.3 eV per formula unit

Cell lengths 4.500, 4.500, 8.719 Å; angles 75.05, 75.05, 60.00 degrees
Fractional coordinates of all 7 atoms:
Zn (0.555, 0.555, 0.336)
Zn (0.445, 0.445, 0.664)
Nd (0.000, 0.000, 0.000)
Li (0.142, 0.142, 0.575)
Li (0.858, 0.858, 0.425)
Sn (0.743, 0.743, 0.770)
Sn (0.257, 0.257, 0.230)

Record 4
Sr2Li16Nd | GGA-PBE | relaxed

Size of the total moment ... 0.00 μB per atom
Energy relative to the elements ... 42 meV per atom
DOS(E_F) ... 13.28 states/eV/f.u.
VASP energy ... -38.0 eV per formula unit

Cell lengths 7.836, 7.836, 7.836 Å; angles 82.77, 82.77, 82.77 degrees
Fractional coordinates of all 19 atoms:
Li (0.706, 0.299, 0.001)
Li (0.299, 0.706, 0.001)
Li (0.005, 0.005, 0.483)
Li (0.343, 0.343, 0.854)
Li (0.005, 0.483, 0.005)
Li (0.483, 0.005, 0.005)
Li (0.299, 0.001, 0.706)
Li (0.650, 0.157, 0.650)
Li (0.157, 0.650, 0.650)
Li (0.104, 0.104, 0.104)
Li (0.001, 0.706, 0.299)
Li (0.001, 0.299, 0.706)
Li (0.706, 0.001, 0.299)
Li (0.650, 0.650, 0.157)
Li (0.343, 0.854, 0.343)
Li (0.854, 0.343, 0.343)
Sr (0.649, 0.649, 0.649)
Sr (0.343, 0.343, 0.343)
Nd (0.900, 0.900, 0.900)

Record 5
SrLi2Nd | GGA-PBE | relaxed

Energy above the lowest structure with this stoichiometry ... 30 meV per atom
Size of the total moment ... 0.00 μB per atom
Energy relative to the elements ... 147 meV per atom
DOS(E_F) ... 4.41 states/eV/f.u.
VASP energy ... -9.7 eV per formula unit

Cell lengths 5.649, 5.649, 5.649 Å; angles 60.00, 60.00, 60.00 degrees
Fractional coordinates of all 4 atoms:
Li (0.750, 0.750, 0.750)
Li (0.250, 0.250, 0.250)
Nd (0.000, 0.000, 0.000)
Sr (0.500, 0.500, 0.500)

Record 6
Sr2LiNd | GGA-PBE | relaxed

Energy above the lowest structure with this stoichiometry ... 181 meV per atom
Size of the total moment ... 0.17 μB per atom
Energy relative to the elements ... 311 meV per atom
DOS(E_F) ... 5.45 states/eV/f.u.
VASP energy ... -8.8 eV per formula unit

Cell lengths 3.815, 3.815, 13.358 Å; angles 81.79, 81.79, 60.00 degrees
Site moments in Bohr magnetons follow the coordinates.
Fractional coordinates of all 4 atoms:
Sr (0.093, 0.093, 0.722)  0.02
Sr (0.907, 0.907, 0.278)  0.02
Li (0.500, 0.500, 0.500)  0.00
Nd (0.000, 0.000, 0.000)  0.23